{"formula": "Mn2Cr3GaS8", "functional": "GGA-PBE", "state": "optimized geometry", "magnetic_moment_mub_per_atom": 1.36, "dft_energy_ev_per_atom": -6.612, "space_group": "R-3m, No. 166", "vol_a3_per_atom": 18.70, "crystal_system": "trigonal", "n_ef_per_ev_fu": 2.139, "cell": [[7.1866, 0.0029, 0.0021], [3.6019, 6.2188, 0.0021], [3.6019, 2.0772, 5.8616]], "species": ["Mn", "Mn", "Cr", "Cr", "Cr", "Ga", "S", "S", "S", "S", "S", "S", "S", "S"], "frac_coords": [[0.3751, 0.3751, 0.3751], [0.6249, 0.6249, 0.6249], [0.5000, 0.0000, 0.0000], [0.0000, 0.0000, 0.5000], [0.0000, 0.5000, 0.0000], [0.0000, 0.0000, 0.0000], [0.2395, 0.2395, 0.2395], [0.7809, 0.2426, 0.2426], [0.2426, 0.2426, 0.7809], [0.2426, 0.7809, 0.2426], [0.7605, 0.7605, 0.7605], [0.2191, 0.7574, 0.7574], [0.7574, 0.7574, 0.2191], [0.7574, 0.2191, 0.7574]]}